Here is crystalline Ga3SiI at its relaxed geometry from Alexandria via LeMat-Bulk. Energies are from PBE.

The structure in POSCAR format:
```
Ga3SiI
1.0
5.087 0.000 0.000
0.000 5.087 0.000
0.000 0.000 5.087
I Si Ga
1 1 3
Direct
0.500 0.500 0.500
0.000 0.000 0.000
0.000 0.500 0.000
0.000 0.000 0.500
0.500 0.000 0.000
```

Density   4.59 Mg/m³
Space group   No. 221
Volume   132 Å³/cell
Offset from the most stable computed form   0 meV per atom
DFT total energy   -3.040 eV/atom
E_form (uncorrected)   0.17 eV per atom

Here is crystalline GaSi2I at its relaxed geometry from Alexandria via LeMat-Bulk. Energies are from PBE.

The structure in POSCAR format:
```
GaSi2I
1.0
6.616 0.000 0.000
0.000 6.616 0.000
3.308 3.308 5.093
I Si Ga
2 4 2
Direct
0.000 0.000 0.000
0.750 0.250 0.500
0.558 0.125 0.250
0.192 0.625 0.250
0.375 0.442 0.750
0.875 0.808 0.750
0.500 0.500 0.000
0.250 0.750 0.500
```

Density   3.77 Mg/m³
Space group   No. 122
Volume   223 Å³/cell
Offset from the most stable computed form   0 meV per atom
DFT total energy   -3.205 eV/atom
E_form (uncorrected)   0.65 eV per atom

Here is crystalline Sm8Ga3SiI4 at its relaxed geometry from Alexandria via LeMat-Bulk. Energies are from PBE.

The structure in POSCAR format:
```
Sm8Ga3SiI4
1.0
-0.431 2.266 -8.345
-6.258 -6.337 -1.398
-1.380 5.916 6.169
Sm Ga Si I
8 3 1 4
Direct
0.233 0.704 0.970
0.233 0.704 0.467
0.264 0.292 0.528
0.737 0.704 0.970
0.263 0.296 0.030
0.736 0.708 0.472
0.767 0.296 0.533
0.767 0.296 0.030
0.500 0.500 0.000
0.500 0.500 0.500
0.000 0.500 0.500
0.000 0.500 0.000
0.500 0.000 0.000
0.500 0.000 0.500
0.000 0.000 0.000
0.000 0.000 0.500
```

Density   6.64 Mg/m³
Space group   No. 166
Volume   487 Å³/cell
DFT total energy   -4.445 eV/atom
E_form (uncorrected)   -0.79 eV per atom

Here is crystalline GaSiTeI2 at its relaxed geometry from Alexandria via LeMat-Bulk. Energies are from PBE.

The structure in POSCAR format:
```
GaSiTeI2
1.0
-1.746 1.546 -4.969
0.378 -5.190 -1.747
-5.276 -0.913 1.570
I Si Te Ga
2 1 1 1
Direct
0.000 0.500 0.000
0.500 0.000 0.000
0.500 0.500 0.500
0.000 0.000 0.500
0.000 0.000 0.000
```

Density   4.73 Mg/m³
Space group   No. 123
Volume   168 Å³/cell
Offset from the most stable computed form   407 meV per atom
DFT total energy   -2.388 eV/atom
E_form (uncorrected)   0.55 eV per atom

Here is crystalline GaSiTe2I at its relaxed geometry from Alexandria via LeMat-Bulk. Energies are from PBE.

The structure in POSCAR format:
```
GaSiTe2I
1.0
5.315 0.000 0.000
0.000 5.315 0.000
0.000 0.000 5.802
I Si Te Ga
1 1 2 1
Direct
0.000 0.000 0.500
0.000 0.000 0.000
0.000 0.500 0.000
0.500 0.000 0.000
0.500 0.500 0.500
```

Density   4.86 Mg/m³
Space group   No. 123
Volume   164 Å³/cell
Offset from the most stable computed form   0 meV per atom
DFT total energy   -3.012 eV/atom
E_form (uncorrected)   0.24 eV per atom

Here is crystalline GaSiTe2I at its relaxed geometry from Alexandria via LeMat-Bulk. Energies are from PBE.

The structure in POSCAR format:
```
GaSiTe2I
1.0
5.399 0.000 0.000
0.000 5.399 0.000
0.000 0.000 5.491
I Si Te Ga
1 1 2 1
Direct
0.000 0.000 0.500
0.500 0.500 0.500
0.000 0.500 0.000
0.500 0.000 0.000
0.000 0.000 0.000
```

Density   4.98 Mg/m³
Space group   No. 123
Volume   160 Å³/cell
Offset from the most stable computed form   389 meV per atom
DFT total energy   -2.622 eV/atom
E_form (uncorrected)   0.63 eV per atom

Here is crystalline GaSiTeI2 at its relaxed geometry from Alexandria via LeMat-Bulk. Energies are from PBE.

The structure in POSCAR format:
```
GaSiTeI2
1.0
-5.077 -0.890 2.328
-0.717 -4.539 -3.298
2.283 -3.112 3.787
I Si Te Ga
2 1 1 1
Direct
0.000 0.500 0.000
0.500 0.000 0.000
0.000 0.000 0.000
0.000 0.000 0.500
0.500 0.500 0.500
```

Density   4.60 Mg/m³
Space group   No. 123
Volume   173 Å³/cell
Offset from the most stable computed form   0 meV per atom
DFT total energy   -2.795 eV/atom
E_form (uncorrected)   0.14 eV per atom

Here is crystalline TlGaSi2I at its relaxed geometry from Alexandria via LeMat-Bulk. Energies are from PBE.

The structure in POSCAR format:
```
TlGaSi2I
1.0
5.431 0.000 0.000
0.000 6.203 0.000
0.000 0.000 5.431
I Tl Si Ga
1 1 2 1
Direct
0.000 0.000 0.000
0.000 0.500 0.000
0.000 0.000 0.500
0.500 0.000 0.000
0.500 0.500 0.500
```

Density   4.15 Mg/m³
Space group   No. 123
Volume   183 Å³/cell
DFT total energy   -2.354 eV/atom
E_form (uncorrected)   1.20 eV per atom

Here is crystalline GaSiWI2 at its relaxed geometry from Alexandria via LeMat-Bulk. Energies are from PBE.

The structure in POSCAR format:
```
GaSiWI2
1.0
-4.383 -0.667 3.386
2.931 -2.096 3.380
0.980 5.007 2.255
I Si Ga W
2 1 1 1
Direct
0.000 0.000 0.500
0.500 0.000 0.000
0.000 0.000 0.000
0.000 0.500 0.000
0.500 0.500 0.500
```

Density   5.78 Mg/m³
Space group   No. 123
Volume   154 Å³/cell
DFT total energy   -3.420 eV/atom
E_form (uncorrected)   1.48 eV per atom

Here is crystalline ZrGa2SiI at its relaxed geometry from Alexandria via LeMat-Bulk. Energies are from PBE.

The structure in POSCAR format:
```
ZrGa2SiI
1.0
-2.900 -3.052 2.119
-2.387 -1.119 -4.879
3.112 -3.463 -0.728
I Si Ga Zr
1 1 2 1
Direct
0.000 0.500 0.000
0.000 0.000 0.000
0.000 0.000 0.500
0.500 0.000 0.000
0.500 0.500 0.500
```

Density   5.20 Mg/m³
Space group   No. 123
Volume   123 Å³/cell
DFT total energy   -3.615 eV/atom
E_form (uncorrected)   0.70 eV per atom

Here is crystalline Sm2GaI at its relaxed geometry from Alexandria via LeMat-Bulk. Energies are from PBE.

The structure in POSCAR format:
```
Sm2GaI
1.0
-1.312 0.221 -4.049
-1.973 -3.330 -1.785
-7.997 1.772 0.444
Sm Ga I
2 1 1
Direct
0.068 0.068 0.795
0.265 0.265 0.204
0.668 0.668 0.996
0.498 0.498 0.505
```

Density   6.71 Mg/m³
Space group   No. 160
Volume   123 Å³/cell
Offset from the most stable computed form   39 meV per atom
DFT total energy   -4.209 eV/atom
E_form (uncorrected)   -0.71 eV per atom

Here is crystalline Sm2GaI at its relaxed geometry from Alexandria via LeMat-Bulk. Energies are from PBE.

The structure in POSCAR format:
```
Sm2GaI
1.0
3.630 0.000 0.000
0.000 3.630 0.000
0.000 0.000 8.358
I Ga Sm
1 1 2
Direct
0.500 0.500 0.500
0.500 0.500 0.000
0.000 0.000 0.779
0.000 0.000 0.221
```

Density   7.50 Mg/m³
Space group   No. 123
Volume   110 Å³/cell
Offset from the most stable computed form   100 meV per atom
DFT total energy   -4.148 eV/atom
E_form (uncorrected)   -0.64 eV per atom

Here is crystalline Sm2GaI at its relaxed geometry from Alexandria via LeMat-Bulk. Energies are from PBE.

The structure in POSCAR format:
```
Sm2GaI
1.0
4.333 0.000 0.000
2.166 3.752 0.000
2.166 1.251 7.483
I Ga Sm
1 1 2
Direct
0.500 0.500 0.500
0.000 0.000 0.000
0.736 0.736 0.791
0.264 0.264 0.209
```

Density   6.79 Mg/m³
Space group   No. 166
Volume   122 Å³/cell
Offset from the most stable computed form   0 meV per atom
DFT total energy   -4.248 eV/atom
E_form (uncorrected)   -0.74 eV per atom

Here is crystalline SmGa2I8 at its relaxed geometry from Alexandria via LeMat-Bulk. Energies are from PBE.

The structure in POSCAR format:
```
SmGa2I8
1.0
7.259 0.498 0.378
0.707 8.969 -0.376
0.707 2.053 8.739
Sm Ga I
1 2 8
Direct
0.000 0.000 0.000
0.671 0.797 0.797
0.329 0.203 0.203
0.222 0.279 0.917
0.778 0.083 0.721
0.293 0.804 0.804
0.707 0.196 0.196
0.222 0.917 0.279
0.778 0.721 0.083
0.839 0.616 0.616
0.161 0.384 0.384
```

Density   3.80 Mg/m³
Space group   No. 12
Volume   570 Å³/cell
DFT total energy   -2.843 eV/atom
E_form (uncorrected)   -0.74 eV per atom

Here is crystalline Sm2GaI at its relaxed geometry from Alexandria via LeMat-Bulk. Energies are from PBE.

The structure in POSCAR format:
```
Sm2GaI
1.0
7.499 0.115 0.000
-2.682 7.330 0.000
-2.408 -3.723 8.646
Sm Ga I
8 4 4
Direct
0.587 0.861 0.127
0.040 0.265 0.127
0.413 0.139 0.873
0.960 0.735 0.873
0.302 0.575 0.623
0.178 0.951 0.377
0.698 0.425 0.377
0.822 0.049 0.623
0.321 0.071 0.141
0.679 0.929 0.859
0.055 0.805 0.609
0.945 0.195 0.391
0.429 0.679 0.358
0.195 0.445 0.889
0.571 0.321 0.642
0.805 0.555 0.111
```

Density   6.91 Mg/m³
Space group   No. 15
Volume   478 Å³/cell
Offset from the most stable computed form   1 meV per atom
DFT total energy   -4.247 eV/atom
E_form (uncorrected)   -0.74 eV per atom

Here is crystalline Sm3GaI at its relaxed geometry from Alexandria via LeMat-Bulk. Energies are from PBE.

The structure in POSCAR format:
```
Sm3GaI
1.0
-4.070 4.011 -2.141
-7.269 -3.795 6.709
5.890 7.973 3.741
Sm Ga I
12 4 4
Direct
0.500 0.250 0.250
0.250 0.654 0.346
0.000 0.750 0.750
0.750 0.941 0.559
0.250 0.154 0.846
0.250 0.559 0.941
0.750 0.441 0.059
0.750 0.846 0.154
0.250 0.059 0.441
0.000 0.250 0.250
0.750 0.346 0.654
0.500 0.750 0.750
0.250 0.395 0.105
0.250 0.895 0.605
0.750 0.105 0.395
0.750 0.605 0.895
0.750 0.572 0.428
0.750 0.072 0.928
0.250 0.928 0.072
0.250 0.428 0.572
```

Density   6.95 Mg/m³
Space group   No. 51
Volume   619 Å³/cell
DFT total energy   -4.181 eV/atom
E_form (uncorrected)   -0.43 eV per atom

Here is crystalline Sm2GaI2 at its relaxed geometry from Alexandria via LeMat-Bulk. Energies are from PBE.

The structure in POSCAR format:
```
Sm2GaI2
1.0
4.094 0.000 0.764
1.989 3.592 0.693
-0.246 -0.140 12.665
Sm Ga I
2 1 2
Direct
0.721 0.206 0.353
0.279 0.794 0.647
0.000 0.500 0.500
0.448 0.917 0.187
0.552 0.083 0.813
```

Density   5.54 Mg/m³
Space group   No. 12
Volume   187 Å³/cell
DFT total energy   -4.139 eV/atom
E_form (uncorrected)   -1.03 eV per atom

Here is crystalline SmGa3I6 at its relaxed geometry from Alexandria via LeMat-Bulk. Energies are from PBE.

The structure in POSCAR format:
```
SmGa3I6
1.0
-0.993 6.992 -3.508
-5.563 2.364 6.287
9.092 4.430 6.380
Sm Ga I
2 6 12
Direct
0.500 0.500 0.500
0.000 0.000 0.000
0.575 0.856 0.752
0.500 0.500 0.000
0.425 0.144 0.248
0.075 0.644 0.252
0.000 0.000 0.500
0.925 0.356 0.748
0.681 0.178 0.925
0.668 0.195 0.574
0.644 0.451 0.261
0.356 0.549 0.739
0.332 0.805 0.426
0.319 0.822 0.075
0.181 0.322 0.425
0.168 0.305 0.074
0.144 0.049 0.761
0.856 0.951 0.239
0.832 0.695 0.926
0.819 0.678 0.575
```

Density   4.53 Mg/m³
Space group   No. 14
Volume   822 Å³/cell
DFT total energy   -3.056 eV/atom
E_form (uncorrected)   -0.75 eV per atom

Here is crystalline Sm3GaI7 at its relaxed geometry from Alexandria via LeMat-Bulk. Energies are from PBE.

The structure in POSCAR format:
```
Sm3GaI7
1.0
7.333 0.000 0.002
0.000 8.874 0.000
0.002 -4.437 7.686
Sm Ga I
3 1 7
Direct
0.777 0.494 0.506
0.777 0.494 0.987
0.777 0.013 0.506
0.531 0.333 0.667
0.031 0.170 0.830
0.031 0.170 0.340
0.028 0.667 0.333
0.544 0.831 0.169
0.544 0.337 0.169
0.545 0.831 0.663
0.031 0.660 0.830
```

Density   4.68 Mg/m³
Space group   No. 156
Volume   500 Å³/cell
DFT total energy   -3.608 eV/atom
E_form (uncorrected)   -1.06 eV per atom

Here is crystalline Sm3GaI3 at its relaxed geometry from Alexandria via LeMat-Bulk. Energies are from PBE.

The structure in POSCAR format:
```
Sm3GaI3
1.0
-0.940 -0.677 -10.685
-8.475 -4.699 4.647
0.408 10.337 2.912
Sm Ga I
12 4 12
Direct
0.970 0.485 0.235
0.515 0.030 0.265
0.250 0.015 0.485
0.985 0.750 0.015
0.985 0.235 0.470
0.765 0.015 0.030
0.735 0.470 0.485
0.765 0.750 0.235
0.530 0.265 0.015
0.250 0.235 0.265
0.735 0.265 0.750
0.515 0.485 0.750
0.750 0.500 0.000
0.500 0.250 0.500
0.750 0.250 0.250
0.000 0.000 0.250
0.243 0.993 0.985
0.750 0.757 0.743
0.485 0.743 0.993
0.007 0.250 0.993
0.257 0.743 0.250
0.493 0.507 0.250
0.243 0.250 0.757
0.257 0.515 0.507
0.750 0.993 0.507
0.015 0.507 0.757
0.007 0.757 0.515
0.493 0.985 0.743
```

Density   6.27 Mg/m³
Space group   No. 214
Volume   956 Å³/cell
DFT total energy   -4.188 eV/atom
E_form (uncorrected)   -1.07 eV per atom

Here is crystalline Sm8Ga3TcI4 at its relaxed geometry from Alexandria via LeMat-Bulk. Energies are from PBE.

The structure in POSCAR format:
```
Sm8Ga3TcI4
1.0
8.592 0.000 0.000
0.000 9.201 0.434
-4.296 -4.290 6.072
Sm Ga Tc I
8 3 1 4
Direct
0.222 0.693 0.971
0.222 0.693 0.444
0.263 0.291 0.527
0.749 0.693 0.971
0.251 0.307 0.029
0.737 0.709 0.473
0.778 0.307 0.556
0.778 0.307 0.029
0.500 0.500 0.000
0.500 0.500 0.500
0.000 0.500 0.500
0.000 0.500 0.000
0.500 0.000 0.000
0.500 0.000 0.500
0.000 0.000 0.000
0.000 0.000 0.500
```

Density   6.76 Mg/m³
Space group   No. 166
Volume   496 Å³/cell
DFT total energy   -4.614 eV/atom
E_form (uncorrected)   -0.65 eV per atom

Here is crystalline SmTlGa2I6 at its relaxed geometry from Alexandria via LeMat-Bulk. Energies are from PBE.

The structure in POSCAR format:
```
SmTlGa2I6
1.0
-4.208 -5.401 4.652
-5.949 -4.642 -3.403
1.691 -8.683 -1.181
Sm Tl Ga I
1 1 2 6
Direct
0.326 0.326 0.023
0.817 0.817 0.549
0.511 0.511 0.466
0.005 0.005 0.986
0.578 0.239 0.238
0.239 0.945 0.238
0.945 0.578 0.238
0.386 0.719 0.759
0.719 0.135 0.759
0.135 0.386 0.759
```

Density   4.66 Mg/m³
Space group   No. 146
Volume   447 Å³/cell
DFT total energy   -3.070 eV/atom
E_form (uncorrected)   -0.83 eV per atom

Here is crystalline SmTl2GaI6 at its relaxed geometry from Alexandria via LeMat-Bulk. Energies are from PBE.

The structure in POSCAR format:
```
SmTl2GaI6
1.0
8.535 0.002 0.002
4.270 7.389 0.001
4.269 2.465 7.346
Sm Tl Ga I
1 2 1 6
Direct
0.324 0.324 0.027
0.526 0.526 0.421
0.019 0.019 0.942
0.819 0.819 0.543
0.574 0.189 0.259
0.189 0.978 0.259
0.978 0.574 0.259
0.452 0.678 0.768
0.678 0.102 0.768
0.102 0.452 0.768
```

Density   4.98 Mg/m³
Space group   No. 146
Volume   463 Å³/cell
DFT total energy   -3.068 eV/atom
E_form (uncorrected)   -0.89 eV per atom